K5Ni at its PBEsol-relaxed geometry, computed with SCAN.

a b c (Å): 5.8202 16.7755 5.8628
angles (deg): 90.00 90.00 90.00
Closest atoms and distances in Å follow each position.
Fractional positions:
K (0.0000, 0.0000, 0.0000)  8 K 3.76-3.77, 4 Ni 4.13
K (0.0000, 0.1410, 0.5000)  2 Ni 3.75, 6 K 3.77-4.13
K (0.0000, 0.3577, 0.0000)  6 K 3.76-4.13, 2 Ni 3.78
K (0.0000, 0.6423, 0.0000)  6 K 3.76-4.13, 2 Ni 3.78
K (0.0000, 0.8590, 0.5000)  2 Ni 3.75, 6 K 3.77-4.13
K (0.5000, 0.1423, 0.0000)  6 K 3.76-4.13, 2 Ni 3.78
K (0.5000, 0.3590, 0.5000)  2 Ni 3.75, 6 K 3.77-4.13
K (0.5000, 0.5000, 0.0000)  8 K 3.76-3.77, 4 Ni 4.13
K (0.5000, 0.6410, 0.5000)  2 Ni 3.75, 6 K 3.77-4.13
K (0.5000, 0.8577, 0.0000)  6 K 3.76-4.13, 2 Ni 3.78
Ni (0.0000, 0.5000, 0.5000)  12 K 3.75-4.13
Ni (0.5000, 0.0000, 0.5000)  12 K 3.75-4.13

Computed properties:
Space group: No. 65
Energy of formation from the pure elements (eV per atom): 0.431
Total energy (eV for the cell shown): -110.46